The following is a PBE calculation of Li2Zr2Co15 after structural relaxation, from Alexandria via LeMat-Bulk.

The formation energy is -62 meV/atom. As for the symmetry: No. 166. The calculation puts the density of states at the Fermi level at 19.89 states/eV/f.u. The value obtained for the density is 7.7 g cm⁻³. As for the electronic total energy: -6.774 eV per atom.

Unit cell a=6.192 b=6.192 c=6.192 alpha=83.18 beta=83.18 gamma=83.18
Site moments in Bohr magnetons follow the coordinates.
Atoms (fractional coordinates):
1 Co 0.704 0.296 0.000  1.46
2 Co 0.000 0.704 0.296  1.46
3 Co 0.000 0.296 0.704  1.46
4 Co 0.646 0.157 0.646  1.33
5 Li 0.902 0.902 0.902  -0.06
6 Co 0.000 0.500 0.000  1.48
7 Li 0.098 0.098 0.098  -0.06
8 Co 0.354 0.354 0.843  1.33
9 Zr 0.651 0.651 0.651  -0.42
10 Zr 0.349 0.349 0.349  -0.42
11 Co 0.500 0.000 0.000  1.48
12 Co 0.843 0.354 0.354  1.33
13 Co 0.296 0.704 0.000  1.46
14 Co 0.000 0.000 0.500  1.48
15 Co 0.704 0.000 0.296  1.46
16 Co 0.157 0.646 0.646  1.33
17 Co 0.646 0.646 0.157  1.33
18 Co 0.296 0.000 0.704  1.46
19 Co 0.354 0.843 0.354  1.33



The following is a PBE calculation of LiZr2Co after structural relaxation, from Alexandria via LeMat-Bulk.

The formation energy is 273 meV/atom. Its energy above the most stable polymorph in this dataset is 29.3 kJ/mol of atoms. As for the symmetry: No. 216. The calculation puts the density of states at the Fermi level at 1.72 states/eV/f.u. The value obtained for the density is 6.2 g cm⁻³. As for the electronic total energy: -6.256 eV per atom.

Unit cell a=4.557 b=4.557 c=4.557 alpha=60.00 beta=60.00 gamma=60.00
Atoms (fractional coordinates):
1 Zr 0.000 0.000 0.000
2 Co 0.500 0.500 0.500
3 Li 0.750 0.750 0.750
4 Zr 0.250 0.250 0.250



The following is a PBE calculation of LuCo3 after structural relaxation, from Alexandria via LeMat-Bulk.

The formation energy is -244 meV/atom. As for the symmetry: No. 166. The calculation puts the density of states at the Fermi level at 5.07 states/eV/f.u. The value obtained for the density is 10.4 g cm⁻³. As for the electronic total energy: -6.704 eV per atom.

Unit cell a=8.540 b=8.540 c=8.540 alpha=33.45 beta=33.45 gamma=33.45
Site moments in Bohr magnetons follow the coordinates.
Atoms (fractional coordinates):
1 Co 0.335 0.335 0.335  -1.46
2 Co 0.665 0.665 0.665  -1.46
3 Lu 0.860 0.860 0.860  0.36
4 Co 0.078 0.584 0.584  -1.32
5 Lu 0.000 0.000 0.000  0.28
6 Lu 0.140 0.140 0.140  0.36
7 Co 0.500 0.500 0.500  -1.23
8 Co 0.922 0.416 0.416  -1.32
9 Co 0.416 0.416 0.922  -1.32
10 Co 0.416 0.922 0.416  -1.32
11 Co 0.584 0.078 0.584  -1.32
12 Co 0.584 0.584 0.078  -1.32



The following is a PBE calculation of Lu4Co3 after structural relaxation, from Alexandria via LeMat-Bulk.

The formation energy is -257 meV/atom. As for the symmetry: No. 147. The calculation puts the density of states at the Fermi level at 4.99 states/eV/f.u. The value obtained for the density is 10.5 g cm⁻³. As for the electronic total energy: -5.885 eV per atom.

Unit cell a=3.975 b=10.991 c=10.991 alpha=60.00 beta=90.00 gamma=90.00
Site moments in Bohr magnetons follow the coordinates.
Atoms (fractional coordinates):
1 Co 0.748 0.564 0.154  -0.01
2 Lu 0.251 0.022 0.224  0.02
3 Co 0.748 0.154 0.282  -0.01
4 Co 0.500 0.000 0.000  -0.40
5 Lu 0.251 0.753 0.022  0.02
6 Co 0.252 0.436 0.846  -0.01
7 Lu 0.749 0.978 0.776  0.02
8 Co 0.248 0.667 0.667  -0.01
9 Co 0.252 0.846 0.718  -0.01
10 Lu 0.749 0.247 0.978  0.02
11 Lu 0.251 0.486 0.380  0.00
12 Co 0.752 0.333 0.333  -0.01
13 Lu 0.749 0.514 0.620  0.00
14 Co 0.252 0.718 0.436  -0.01
15 Lu 0.251 0.135 0.486  0.00
16 Lu 0.749 0.620 0.865  0.00
17 Co 0.748 0.282 0.564  -0.01
18 Lu 0.251 0.380 0.135  0.00
19 Lu 0.749 0.776 0.247  0.02
20 Lu 0.749 0.865 0.514  0.00
21 Lu 0.251 0.224 0.753  0.02



The following is a PBE calculation of Lu4Co after structural relaxation, from Alexandria via LeMat-Bulk.

The formation energy is 297 meV/atom. As for the symmetry: No. 227. The calculation puts the density of states at the Fermi level at 6.24 states/eV/f.u. The value obtained for the density is 9.1 g cm⁻³. As for the electronic total energy: -4.741 eV per atom.

Unit cell a=7.316 b=7.316 c=7.316 alpha=60.00 beta=60.00 gamma=60.00
Atoms (fractional coordinates):
1 Lu 0.907 0.364 0.364
2 Lu 0.364 0.364 0.907
3 Lu 0.364 0.364 0.364
4 Co 0.750 0.750 0.750
5 Lu 0.343 0.886 0.886
6 Lu 0.886 0.886 0.886
7 Lu 0.886 0.343 0.886
8 Lu 0.886 0.886 0.343
9 Lu 0.364 0.907 0.364
10 Co 0.500 0.500 0.500



The following is a PBE calculation of Lu3MgCo after structural relaxation, from Alexandria via LeMat-Bulk.

The formation energy is -71 meV/atom. As for the symmetry: No. 221. The calculation puts the density of states at the Fermi level at 5.24 states/eV/f.u. The value obtained for the density is 7.6 g cm⁻³. As for the electronic total energy: -4.524 eV per atom.

Unit cell a=5.097 b=5.097 c=5.097 alpha=90.00 beta=90.00 gamma=90.00
Atoms (fractional coordinates):
1 Mg 0.500 0.500 0.500
2 Co 0.000 0.000 0.000
3 Lu 0.000 0.000 0.500
4 Lu 0.500 0.000 0.000
5 Lu 0.000 0.500 0.000



The following is a PBE calculation of Lu2MgCo after structural relaxation, from Alexandria via LeMat-Bulk.

The formation energy is -197 meV/atom. Its energy above the most stable polymorph in this dataset is 0.0 kJ/mol of atoms. As for the symmetry: No. 123. The calculation puts the density of states at the Fermi level at 2.85 states/eV/f.u. The value obtained for the density is 8.2 g cm⁻³. As for the electronic total energy: -4.632 eV per atom.

Unit cell a=3.323 b=3.323 c=7.909 alpha=90.00 beta=90.00 gamma=90.00
Site moments in Bohr magnetons follow the coordinates.
Atoms (fractional coordinates):
1 Co 0.500 0.500 0.000  0.73
2 Lu 0.000 0.000 0.200  -0.07
3 Mg 0.500 0.500 0.500  0.01
4 Lu 0.000 0.000 0.800  -0.07



The following is a PBE calculation of Lu2MgCo after structural relaxation, from Alexandria via LeMat-Bulk.

The formation energy is 106 meV/atom. Its energy above the most stable polymorph in this dataset is 29.2 kJ/mol of atoms. As for the symmetry: No. 166. The calculation puts the density of states at the Fermi level at 2.75 states/eV/f.u. The value obtained for the density is 6.6 g cm⁻³. As for the electronic total energy: -4.330 eV per atom.

Unit cell a=3.608 b=3.608 c=9.939 alpha=79.54 beta=79.54 gamma=60.00
Atoms (fractional coordinates):
1 Co 0.500 0.500 0.500
2 Lu 0.885 0.885 0.346
3 Mg 0.000 0.000 0.000
4 Lu 0.115 0.115 0.654



The following is a PBE calculation of Lu2MgCo after structural relaxation, from Alexandria via LeMat-Bulk.

The formation energy is -48 meV/atom. Its energy above the most stable polymorph in this dataset is 14.3 kJ/mol of atoms. As for the symmetry: No. 225. The calculation puts the density of states at the Fermi level at 2.69 states/eV/f.u. The value obtained for the density is 8.7 g cm⁻³. As for the electronic total energy: -4.484 eV per atom.

Unit cell a=4.897 b=4.897 c=4.897 alpha=60.00 beta=60.00 gamma=60.00
Site moments in Bohr magnetons follow the coordinates.
Atoms (fractional coordinates):
1 Lu 0.250 0.250 0.250  -0.03
2 Mg 0.500 0.500 0.500  0.00
3 Co 0.000 0.000 0.000  0.18
4 Lu 0.750 0.750 0.750  -0.03



The following is a PBE calculation of Lu2MgCo after structural relaxation, from Alexandria via LeMat-Bulk.

The formation energy is -17 meV/atom. Its energy above the most stable polymorph in this dataset is 17.4 kJ/mol of atoms. As for the symmetry: No. 123. The calculation puts the density of states at the Fermi level at 3.24 states/eV/f.u. The value obtained for the density is 8.6 g cm⁻³. As for the electronic total energy: -4.452 eV per atom.

Unit cell a=3.549 b=4.867 c=4.867 alpha=90.00 beta=90.00 gamma=90.00
Site moments in Bohr magnetons follow the coordinates.
Atoms (fractional coordinates):
1 Mg 0.500 0.000 0.000  0.00
2 Co 0.500 0.500 0.500  -0.72
3 Lu 0.000 0.500 0.000  0.11
4 Lu 0.000 0.000 0.500  0.11



The following is a PBE calculation of LuMgCo2 after structural relaxation, from Alexandria via LeMat-Bulk.

The formation energy is -18 meV/atom. As for the symmetry: No. 123. The calculation puts the density of states at the Fermi level at 5.55 states/eV/f.u. The value obtained for the density is 8.5 g cm⁻³. As for the electronic total energy: -5.100 eV per atom.

Unit cell a=3.178 b=3.178 c=6.149 alpha=90.00 beta=90.00 gamma=90.00
Atoms (fractional coordinates):
1 Lu 0.500 0.500 0.000
2 Co 0.000 0.000 0.266
3 Mg 0.500 0.500 0.500
4 Co 0.000 0.000 0.734



The following is a PBE calculation of LuMgCo2 after structural relaxation, from Alexandria via LeMat-Bulk.

The formation energy is -27 meV/atom. As for the symmetry: No. 123. The calculation puts the density of states at the Fermi level at 3.52 states/eV/f.u. The value obtained for the density is 8.5 g cm⁻³. As for the electronic total energy: -5.109 eV per atom.

Unit cell a=3.207 b=4.392 c=4.392 alpha=90.00 beta=90.00 gamma=90.00
Atoms (fractional coordinates):
1 Mg 0.500 0.500 0.500
2 Co 0.000 0.000 0.500
3 Co 0.000 0.500 0.000
4 Lu 0.500 0.000 0.000